Record 1
## ZnReAsO (PBE)

Data for an optimized crystal structure of ZnReAsO.

- final energy (eV per cell) = -46.196
- polymorph energy (0 for the lowest one) (meV per atom) = 414

abc: 3.354 3.354 10.130
angles: 90.00 90.00 90.00
Sites, in units of the cell vectors:
O: 0.000 0.000 0.000
Re: 0.000 0.500 0.873
Zn: 0.500 0.500 0.500
As: 0.000 0.500 0.257
Re: 0.500 0.000 0.127
As: 0.500 0.000 0.743
O: 0.500 0.500 0.000
Zn: 0.000 0.000 0.500

Record 2
## GdZrPd (PBE)

Data for an optimized crystal structure of GdZrPd.

- final energy (eV per cell) = -18.909
- polymorph energy (0 for the lowest one) (meV per atom) = 0
- formation energy (eV/atom) = -0.1774

abc: 4.758 4.758 4.758
angles: 60.00 60.00 60.00
Sites, in units of the cell vectors:
Gd: 0.500 0.500 0.500
Pd: 0.250 0.250 0.250
Zr: 0.000 0.000 0.000

Record 3
## KMoAuSe3 (PBE)

Data for an optimized crystal structure of KMoAuSe3.

- final energy (eV per cell) = -55.690

abc: 7.857 7.857 10.255
angles: 90.00 90.00 28.82
Sites, in units of the cell vectors:
Mo: 0.000 0.000 0.000
Se: 0.931 0.931 0.750
Se: 0.383 0.383 0.024
Se: 0.383 0.383 0.476
Au: 0.553 0.553 0.750
K: 0.243 0.243 0.750
Se: 0.617 0.617 0.524
Mo: 0.000 0.000 0.500
Se: 0.617 0.617 0.976
Au: 0.447 0.447 0.250
K: 0.757 0.757 0.250
Se: 0.069 0.069 0.250

Record 4
## SrLiNiAs (PBE)

Data for an optimized crystal structure of SrLiNiAs.

- final energy (eV per cell) = -15.161
- polymorph energy (0 for the lowest one) (meV per atom) = 0

abc: 4.612 4.612 4.612
angles: 60.00 60.00 60.00
Sites, in units of the cell vectors:
As: 0.500 0.500 0.500
Sr: 0.000 0.000 0.000
Ni: 0.250 0.250 0.250
Li: 0.750 0.750 0.750

Record 5
## NbCoNiSb (PBE)

Data for an optimized crystal structure of NbCoNiSb.

- final energy (eV per cell) = -26.492
- polymorph energy (0 for the lowest one) (meV per atom) = 154

abc: 4.403 4.403 4.403
angles: 60.00 60.00 60.00
Sites, in units of the cell vectors:
Sb: 0.000 0.000 0.000
Nb: 0.250 0.250 0.250
Ni: 0.500 0.500 0.500
Co: 0.750 0.750 0.750

Record 6
## NaTbPb (PBE)

Data for an optimized crystal structure of NaTbPb.

- final energy (eV per cell) = -10.227

abc: 5.185 5.185 5.185
angles: 60.00 60.00 60.00
Sites, in units of the cell vectors:
Na: 0.250 0.250 0.250
Tb: 0.750 0.750 0.750
Pb: 0.000 0.000 0.000

no.,V (Å³ per cell),density (g/cm3)
1,113.9,10.0
2,76.2,7.7
3,305.2,6.2
4,69.4,5.5
5,60.4,9.1
6,98.6,6.6